DFT (GGA-PBE) results for a relaxed CdMoRu2 crystal.

Cell lengths 5.2786, 5.2786, 5.2786 Å; angles 146.50, 126.17, 64.91 degrees
Closest atoms and distances in Å follow each position.
Atoms (fractional coordinates):
Ru (0.9761, 0.9761, 0.0000)  2 Mo 2.52
Ru (0.5239, 0.5239, 0.0000)  2 Mo 2.52
Mo (0.7500, 0.2500, 0.5000)  4 Ru 2.52
Cd (0.2500, 0.7500, 0.5000)  4 Mo 2.83, 8 Ru 2.88-3.13, 2 Cd 3.04

Values from the calculation:
For the calculated volume, the calculation gives 64.76 Å³/cell. The formation energy is 0.3828 eV per atom. The calculation puts the total magnetization at 0.000 μB/f.u.